Entry 1:
# RbGaIO2

A relaxed structure of RbGaIO2 (PBE, Alexandria via LeMat-Bulk).

Fermi-level density of states = 0.6043 states/eV per atom
Calculated density = 4823 kg/m3
Polymorph energy (0 for the lowest one) = 0.000 eV/atom
Magnetization = 1.1 μB/cell

a b c (Å): 4.3716 4.3716 5.6581
angles (deg): 90.00 90.00 90.00
Closest atoms and distances in Å follow each position.
Element x y z (fractional)
Ga 0.0000 0.0000 0.0000  4 O 2.19
O 0.0000 0.5000 0.0000  2 Ga 2.19
O 0.5000 0.0000 0.0000  2 Ga 2.19
I 0.0000 0.0000 0.5000  2 Ga 2.83, 4 Rb 3.09
Rb 0.5000 0.5000 0.5000  4 I 3.09

=====

Entry 2:
# Pm6Sn2GeTe3

A relaxed structure of Pm6Sn2GeTe3 (PBE, Alexandria via LeMat-Bulk).

Fermi-level density of states = 0.2490 states/eV per atom
Calculated total energy = -5.358 eV per atom
Calculated density = 6884 kg/m3
Magnetization = 0.0 μB/cell

a b c (Å): 4.4378 8.9742 9.9979
angles (deg): 103.48 102.82 90.00
Closest atoms and distances in Å follow each position.
Element x y z (fractional)
Ge 0.5000 0.0000 0.0000  6 Pm 3.00-3.03
Te 0.8318 0.1655 0.6636  6 Pm 3.19-3.28
Te 0.5000 0.5000 0.0000  6 Pm 3.18-3.29
Te 0.1682 0.8345 0.3364  6 Pm 3.19-3.28
Pm 0.9987 0.7696 0.9974  2 Ge 3.03, 1 Sn 3.13, 3 Te 3.22-3.29
Pm 0.6587 0.0841 0.3173  1 Ge 3.00, 2 Sn 3.12, 3 Te 3.19-3.28
Pm 0.3322 0.4215 0.6644  3 Sn 3.12-3.14, 3 Te 3.18-3.19
Pm 0.6678 0.5785 0.3356  3 Sn 3.12-3.14, 3 Te 3.18-3.19
Pm 0.3413 0.9159 0.6827  1 Ge 3.00, 2 Sn 3.12, 3 Te 3.19-3.28
Pm 0.0013 0.2304 0.0026  2 Ge 3.03, 1 Sn 3.13, 3 Te 3.22-3.29
Sn 0.8335 0.6673 0.6671  6 Pm 3.12-3.14
Sn 0.1665 0.3327 0.3329  6 Pm 3.12-3.14

=====

Entry 3:
# RbCd2InGa

A relaxed structure of RbCd2InGa (PBE, Alexandria via LeMat-Bulk).

Fermi-level density of states = 0.3706 states/eV per atom
Calculated total energy = -1.634 eV per atom
Calculated density = 4845 kg/m3
Magnetization = 0.0 μB/cell

a b c (Å): 5.4342 5.4342 5.7425
angles (deg): 90.00 90.00 90.00
Closest atoms and distances in Å follow each position.
Element x y z (fractional)
Cd 0.0000 0.5000 0.0000  2 Ga 2.72
Cd 0.5000 0.0000 0.0000  2 Ga 2.72
In 0.0000 0.0000 0.5000  2 Ga 2.87
Rb 0.5000 0.5000 0.5000  4 In 3.84, 8 Cd 3.95
Ga 0.0000 0.0000 0.0000  4 Cd 2.72, 2 In 2.87

=====

Entry 4:
# Tm5Tl2Ag2

A relaxed structure of Tm5Tl2Ag2 (PBE, Alexandria via LeMat-Bulk).

Fermi-level density of states = 1.0031 states/eV per atom
Calculated total energy = -3.875 eV per atom
Calculated density = 10142 kg/m3
Magnetization = 0.0 μB/cell

a b c (Å): 7.2454 8.5950 8.8400
angles (deg): 119.09 90.00 90.00
Closest atoms and distances in Å follow each position.
Element x y z (fractional)
Tm 0.1565 0.4471 0.2625  2 Ag 2.94-3.03, 3 Tl 3.13-3.19
Tm 0.3435 0.6846 0.7375  2 Ag 2.94-3.03, 3 Tl 3.13-3.19
Tm 0.5000 0.5000 0.0000  2 Ag 2.90, 2 Tl 3.25
Tm 0.8435 0.8154 0.2625  2 Ag 2.94-3.03, 3 Tl 3.13-3.19
Tm 0.8435 0.5529 0.7375  2 Ag 2.94-3.03, 3 Tl 3.13-3.19
Tm 0.1565 0.1846 0.7375  2 Ag 2.94-3.03, 3 Tl 3.13-3.19
Tm 0.3435 0.9471 0.2625  2 Ag 2.94-3.03, 3 Tl 3.13-3.19
Tm 0.0000 0.0000 0.0000  2 Ag 2.90, 2 Tl 3.25
Tm 0.6565 0.0529 0.7375  2 Ag 2.94-3.03, 3 Tl 3.13-3.19
Tm 0.6565 0.3154 0.2625  2 Ag 2.94-3.03, 3 Tl 3.13-3.19
Ag 0.3717 0.1267 0.0000  1 Ag 2.86, 5 Tm 2.90-3.03
Ag 0.1283 0.6267 0.0000  1 Ag 2.86, 5 Tm 2.90-3.03
Ag 0.6283 0.8733 0.0000  1 Ag 2.86, 5 Tm 2.90-3.03
Ag 0.8717 0.3733 0.0000  1 Ag 2.86, 5 Tm 2.90-3.03
Tl 0.0000 0.2101 0.4202  7 Tm 3.13-3.25
Tl 0.5000 0.7101 0.4202  7 Tm 3.13-3.25
Tl 0.0000 0.7899 0.5798  7 Tm 3.13-3.25
Tl 0.5000 0.2899 0.5798  7 Tm 3.13-3.25

=====

Entry 5:
# Li2MoW

A relaxed structure of Li2MoW (PBE, Alexandria via LeMat-Bulk).

Fermi-level density of states = 1.0585 states/eV per atom
Calculated density = 9136 kg/m3
Polymorph energy (0 for the lowest one) = 0.715 eV/atom
Magnetization = 0.0 μB/cell

a b c (Å): 4.2262 4.2262 4.2262
angles (deg): 60.00 60.00 60.00
Closest atoms and distances in Å follow each position.
Element x y z (fractional)
Li 0.7500 0.7500 0.7500  4 W 2.59, 4 Mo 2.59
Li 0.2500 0.2500 0.2500  4 Mo 2.59, 4 W 2.59
Mo 0.0000 0.0000 0.0000  8 Li 2.59
W 0.5000 0.5000 0.5000  8 Li 2.59

=====

Entry 6:
# Ac2Co3Ge4Ru

A relaxed structure of Ac2Co3Ge4Ru (PBE, Alexandria via LeMat-Bulk).

Fermi-level density of states = 0.7190 states/eV per atom
Calculated total energy = -6.221 eV per atom
Calculated density = 9259 kg/m3
Magnetization = 0.0 μB/cell

a b c (Å): 4.2876 4.2876 9.9747
angles (deg): 90.00 90.00 90.00
Closest atoms and distances in Å follow each position.
Element x y z (fractional)
Ge 0.5000 0.0000 0.6250  2 Ru 2.48, 3 Co 2.48-2.53
Ge 0.0000 0.5000 0.3750  3 Co 2.48-2.53, 2 Ru 2.48
Ge 0.5000 0.5000 0.0000  4 Co 2.46
Ge 0.0000 0.0000 0.0000  4 Co 2.46
Ac 0.0000 0.5000 0.7516  8 Ge 3.28, 6 Co 3.29-3.30, 2 Ru 3.30
Ac 0.5000 0.0000 0.2484  8 Ge 3.28, 6 Co 3.29-3.30, 2 Ru 3.30
Co 0.5000 0.0000 0.8785  5 Ge 2.46-2.53
Co 0.0000 0.5000 0.1215  5 Ge 2.46-2.53
Co 0.0000 0.0000 0.5000  4 Ge 2.48
Ru 0.5000 0.5000 0.5000  4 Ge 2.48

=====

Entry 7:
# NpInAu4

A relaxed structure of NpInAu4 (PBE, Alexandria via LeMat-Bulk).

Fermi-level density of states = 1.6815 states/eV per atom
Calculated density = 14901 kg/m3
Polymorph energy (0 for the lowest one) = 0.012 eV/atom
Magnetization = 4.1 μB/cell

a b c (Å): 5.1471 3.8831 7.5379
angles (deg): 75.12 78.45 112.33
Closest atoms and distances in Å follow each position.
Element x y z (fractional)
Au 0.4985 0.8274 0.3334  5 Au 2.96-3.10, 3 In 2.98-3.01, 2 Np 3.11-3.12
Au 0.9919 0.6493 0.1809  5 Au 2.96-3.28, 2 In 3.03, 3 Np 3.04-3.05
Au 0.5041 0.1671 0.6629  5 Au 2.96-3.10, 3 In 2.98-3.01, 2 Np 3.11-3.12
Au 0.0107 0.3453 0.8154  5 Au 2.96-3.28, 2 In 3.03, 3 Np 3.04-3.05
Np 0.5013 0.4973 0.9981  10 Au 3.04-3.12
In 0.0013 0.9972 0.4981  10 Au 2.98-3.03

=====

Entry 8:
# LaBN2

A relaxed structure of LaBN2 (PBE, Alexandria via LeMat-Bulk).

Fermi-level density of states = 0.0000 states/eV per atom
Calculated total energy = -7.867 eV per atom
Calculated density = 6754 kg/m3
Magnetization = 0.0 μB/cell

a b c (Å): 5.2152 5.2152 4.8913
angles (deg): 57.78 57.78 90.00
Closest atoms and distances in Å follow each position.
Element x y z (fractional)
N 0.2609 0.6250 0.2500  2 B 1.64
N 0.4891 0.1250 0.2500  2 B 1.64
N 0.3750 0.5109 0.7500  2 B 1.64
N 0.8750 0.7391 0.7500  2 B 1.64
B 0.5000 0.5000 0.0000  4 N 1.64
B 0.2500 0.7500 0.5000  4 N 1.64
La 0.0000 0.0000 0.0000  8 N 2.53-2.80
La 0.7500 0.2500 0.5000  8 N 2.53-2.80

=====

> What is the magnetization in the fourth record?

0.0 μB/cell

=====

> What is the formula in the third record?

RbCd2InGa

=====

> Which of these has the highest Fermi-level density of states?

NpInAu4